# 1
Material: Y2TcSbC
Method: DFT, PBE
State: optimized geometry

Output
Electronic total energy in eV per atom: -7.804
Total magnetic moment in μB/f.u.: 0.00

Cell: 4.9737 4.9737 4.0638 Å, 90.00 90.00 90.00°
Element x y z (fractional)
Y  0.0000  0.5000  0.0000
Y  0.5000  0.0000  0.0000
Sb  0.5000  0.5000  0.5000
Tc  0.0000  0.0000  0.5000
C  0.0000  0.0000  0.0000



# 2
Material: Fe2AsIr
Method: DFT, PBE
State: optimized geometry

Output
Total magnetic moment in μB/f.u.: 5.40
DFT formation energy in eV per formula unit: 0.3

Cell: 4.6392 4.6392 4.6392 Å, 132.16 132.16 69.98°
Last column: magnetic moment on the atom in μB.
Element x y z (fractional)
Ir  0.5000  0.5000  0.0000  0.24
Fe  0.0000  0.0000  0.0000  2.46
Fe  0.2500  0.7500  0.5000  2.70
As  0.7500  0.2500  0.5000  -0.03



# 3
Material: LaTaAu2
Method: DFT, PBE
State: optimized geometry

Output
Total magnetic moment in μB/f.u.: 0.00
Offset from the most stable computed form in eV/atom: 0.1869
DFT formation energy in eV per formula unit: -0.1

Cell: 5.3689 5.3689 5.3689 Å, 134.02 124.63 74.75°
Element x y z (fractional)
La  0.7500  0.2500  0.5000
Ta  0.2500  0.7500  0.5000
Au  0.0272  0.0272  0.0000
Au  0.4728  0.4728  0.0000



# 4
Material: Sm6HgTe5
Method: DFT, PBE
State: optimized geometry

Output
Electronic total energy in eV per atom: -4.953
Total magnetic moment in μB/f.u.: 0.00

Cell: 7.6792 7.7177 7.6970 Å, 59.91 80.39 70.56°
Element x y z (fractional)
Sm  0.2422  0.5954  0.3247
Sm  0.2422  0.9201  0.6753
Sm  0.7532  0.7593  0.0000
Sm  0.2468  0.2407  0.0000
Sm  0.7578  0.0799  0.3247
Sm  0.7578  0.4046  0.6753
Te  0.5000  0.1717  0.6566
Te  0.0000  0.6650  0.6700
Te  0.0000  0.3350  0.3300
Te  0.5000  0.5000  0.0000
Te  0.5000  0.8283  0.3434
Hg  0.0000  0.0000  0.0000



# 5
Material: NaTlGa2Pt
Method: DFT, PBE
State: optimized geometry

Output
Total magnetic moment in μB/f.u.: 0.00
Offset from the most stable computed form in eV/atom: 0.1055
DFT formation energy in eV per formula unit: -0.7

Cell: 4.8520 4.8520 5.6651 Å, 90.00 90.00 90.00°
Element x y z (fractional)
Na  0.5000  0.5000  0.5000
Ga  0.5000  0.0000  0.0000
Ga  0.0000  0.5000  0.0000
Tl  0.0000  0.0000  0.5000
Pt  0.0000  0.0000  0.0000



# 6
Material: Si2TcSb
Method: DFT, PBE
State: optimized geometry

Output
Electronic total energy in eV per atom: -6.198
Total magnetic moment in μB/f.u.: 0.00

Cell: 8.4951 8.4951 8.4951 Å, 21.35 21.35 21.35°
Element x y z (fractional)
Si  0.5159  0.5159  0.5159
Si  0.9841  0.9841  0.9841
Tc  0.2500  0.2500  0.2500
Sb  0.7500  0.7500  0.7500



# 7
Material: Nd3Ag2Sn
Method: DFT, PBE
State: optimized geometry

Output
Total magnetic moment in μB/f.u.: 0.53
DFT formation energy in eV per formula unit: -2.4

Cell: 3.8003 5.3520 8.5500 Å, 108.24 90.00 90.00°
Last column: magnetic moment on the atom in μB.
Element x y z (fractional)
Ag  0.0000  0.6716  0.3433  0.01
Ag  0.0000  0.3284  0.6567  0.01
Nd  0.5000  0.1680  0.3360  0.08
Nd  0.5000  0.8320  0.6640  0.08
Nd  0.5000  0.5000  0.0000  0.09
Sn  0.0000  0.0000  0.0000  0.00



# 8
Material: ReSe3Cl
Method: DFT, PBE
State: optimized geometry

Output
Total magnetic moment in μB/f.u.: 0.00
Offset from the most stable computed form in eV/atom: 0.0000

Cell: 4.8808 8.7884 7.5937 Å, 106.57 88.96 105.50°
Element x y z (fractional)
Re  0.8079  0.6325  0.1914
Re  0.1921  0.3675  0.8086
Se  0.2904  0.5898  0.1100
Se  0.7096  0.4102  0.8900
Se  0.7750  0.5709  0.4679
Se  0.9621  0.9131  0.2403
Se  0.2250  0.4291  0.5321
Se  0.0379  0.0869  0.7597
Cl  0.4057  0.9632  0.7446
Cl  0.5943  0.0368  0.2554